(1)
Computed, not measured: a geometry-optimized GdCoSi2Tc structure at the GGA-PBE level of DFT.

abc: 4.0947 4.0947 9.7066
angles: 90.00 90.00 90.00
Closest atoms and distances in Å follow each position.
Space group I-4m2 (No. 119)
Unique sites:
Gd (0.0000, 0.0000, 0.0000) [2 per cell]  8 Si 3.16, 4 Co 3.17, 4 Tc 3.17
Co (0.0000, 0.5000, 0.7500) [2 per cell]  4 Si 2.35
Si (0.0000, 0.0000, 0.3698) [4 per cell]  2 Tc 2.35, 2 Co 2.35, 1 Si 2.53
Tc (0.0000, 0.5000, 0.2500) [2 per cell]  4 Si 2.35

=====

(2)
Computed, not measured: a geometry-optimized GdTmCo2Si4 structure at the GGA-PBE level of DFT.

abc: 3.9549 4.0105 16.2604
angles: 90.00 90.00 90.00
Closest atoms and distances in Å follow each position.
Space group Amm2 (No. 38)
Unique sites:
Gd (0.0000, 0.0000, 0.0000) [2 per cell]  10 Si 3.01-3.17, 4 Co 3.05
Tm (0.5000, 0.0000, 0.2159) [2 per cell]  10 Si 3.01-3.16, 4 Co 3.04
Co (0.0000, 0.0000, 0.7856) [2 per cell]  5 Si 2.19-2.31
Co (0.5000, 0.0000, 0.4286) [2 per cell]  5 Si 2.22-2.32
Si (0.0000, 0.0000, 0.3563) [2 per cell]  4 Co 2.30-2.31
Si (0.0000, 0.0000, 0.6509) [2 per cell]  1 Co 2.19, 2 Si 2.42
Si (0.5000, 0.0000, 0.5654) [2 per cell]  1 Co 2.22, 2 Si 2.42
Si (0.5000, 0.0000, 0.8567) [2 per cell]  4 Co 2.29-2.32

=====

(3)
Computed, not measured: a geometry-optimized GdYCo2Si4 structure at the GGA-PBE level of DFT.

abc: 3.9799 4.0471 16.2589
angles: 90.00 90.00 90.00
Closest atoms and distances in Å follow each position.
Space group Amm2 (No. 38)
Unique sites:
Gd (0.0000, 0.0000, 0.0000) [2 per cell]  10 Si 3.03-3.18, 4 Co 3.07
Y (0.5000, 0.0000, 0.2153) [2 per cell]  10 Si 3.03-3.18, 4 Co 3.07
Co (0.0000, 0.0000, 0.7872) [2 per cell]  5 Si 2.22-2.32
Co (0.5000, 0.0000, 0.4279) [2 per cell]  5 Si 2.23-2.32
Si (0.0000, 0.0000, 0.3570) [2 per cell]  4 Co 2.30-2.32
Si (0.0000, 0.0000, 0.6509) [2 per cell]  1 Co 2.22, 2 Si 2.43
Si (0.5000, 0.0000, 0.5648) [2 per cell]  1 Co 2.23, 2 Si 2.43
Si (0.5000, 0.0000, 0.8576) [2 per cell]  4 Co 2.30-2.32

=====

(4)
Computed, not measured: a geometry-optimized SmGdCo4 structure at the GGA-PBE level of DFT.

## Properties
ΔE_f   -125 meV/atom

abc: 7.2286 7.2286 7.2286
angles: 90.00 90.00 90.00
Closest atoms and distances in Å follow each position.
Space group F-43m (No. 216)
Unique sites:
Sm (0.0000, 0.0000, 0.0000) [4 per cell]  12 Co 3.00, 4 Gd 3.13
Gd (0.2500, 0.2500, 0.2500) [4 per cell]  12 Co 3.00, 4 Sm 3.13
Co (0.1248, 0.1248, 0.6248) [16 per cell]  6 Co 2.55-2.56

=====

(5)
Computed, not measured: a geometry-optimized SmGdCo2Sn structure at the GGA-PBE level of DFT.

abc: 3.8875 3.8809 13.9554
angles: 90.00 90.00 90.00
Closest atoms and distances in Å follow each position.
Space group Amm2 (No. 38)
Unique sites:
Sm (0.0000, 0.0000, 0.0000) [2 per cell]  6 Co 2.91-2.97
Gd (0.0000, 0.0000, 0.2730) [2 per cell]  6 Co 2.90-2.94
Co (0.5000, 0.0000, 0.4314) [2 per cell]  2 Co 2.33
Co (0.5000, 0.0000, 0.8391) [2 per cell]  2 Co 2.33
Sn (0.5000, 0.0000, 0.6376) [2 per cell]  2 Co 2.81-2.88

=====

(6)
Computed, not measured: a geometry-optimized Sm2Gd2Zn3Co2 structure at the GGA-PBE level of DFT.

## Properties
ΔE_f   -267 meV/atom

abc: 7.0303 3.7018 7.6967
angles: 90.00 107.11 90.00
Closest atoms and distances in Å follow each position.
Space group P2/m (No. 10)
Unique sites:
Sm (0.0827, 0.0000, 0.2185) [2 per cell]  2 Co 2.69
Gd (0.3931, 0.0000, 0.7021) [2 per cell]  4 Co 2.84-2.95, 2 Zn 3.15
Zn (0.0000, 0.5000, 0.5000) [1 per cell]  2 Co 2.79, 4 Sm 3.03
Zn (0.3065, 0.5000, 0.0157) [2 per cell]  1 Zn 2.80, 1 Co 2.84, 2 Sm 3.13
Co (0.3470, 0.5000, 0.3933) [2 per cell]  1 Co 2.29

=====

(7)
Computed, not measured: a geometry-optimized SmGdZnCo2 structure at the GGA-PBE level of DFT.

## Properties
ΔE_f   -242 meV/atom

abc: 4.1274 5.5044 8.2818
angles: 90.00 90.00 90.00
Closest atoms and distances in Å follow each position.
Space group Imm2 (No. 44)
Unique sites:
Sm (0.0000, 0.0000, 0.0000) [2 per cell]  6 Co 2.88-2.94, 2 Zn 3.17
Gd (0.0000, 0.0000, 0.5814) [2 per cell]  6 Co 2.90-2.92, 2 Zn 3.17
Zn (0.0000, 0.5000, 0.7912) [2 per cell]  4 Co 2.61
Co (0.0000, 0.2908, 0.2894) [4 per cell]  1 Co 2.30

=====

(8)
Computed, not measured: a geometry-optimized Gd3Co8Sn4 structure at the GGA-PBE level of DFT.

abc: 8.9154 8.9154 7.4643
angles: 90.00 90.00 120.00
Closest atoms and distances in Å follow each position.
Space group P6_3mc (No. 186)
Unique sites:
Gd (0.0573, 0.5287, 0.0000) [6 per cell]  6 Co 3.07-3.38, 6 Sn 3.19-3.27
Co (0.0000, 0.0000, 0.2802) [2 per cell]  9 Co 2.37-2.48
Co (0.0972, 0.1945, 0.0253) [6 per cell]  7 Co 2.37-2.60, 1 Sn 2.65
Co (0.1584, 0.3169, 0.3319) [6 per cell]  4 Co 2.48-2.58, 3 Sn 2.70-2.72
Co (0.3333, 0.6667, 0.7042) [2 per cell]  4 Sn 2.50-2.78
Sn (0.1712, 0.3423, 0.7051) [6 per cell]  8 Co 2.50-2.79
Sn (0.3333, 0.6667, 0.3319) [2 per cell]  4 Co 2.70-2.78

=====

Number 1: E_tot -7.31 eV per atom. Number 2: E_tot -6.41 eV per atom. Number 3: E_tot -6.67 eV per atom. Number 4: E_tot -6.42 eV per atom. Number 5: E_tot -5.91 eV per atom. Number 6: E_tot -4.35 eV per atom. Number 7: E_tot -5.21 eV per atom. Number 8: E_tot -6.10 eV per atom.